Record 1
Cs2K2Mg PBE-GGA relaxed; uncorrected energy = -0.936 eV per atom; E above lowest polymorph = 0.0 meV per atom; D(E_F) = 9.474 states/eV per cell
1.0
9.979 0.000 0.000
0.000 9.979 0.000
0.000 0.000 7.578
Mg K Cs
2 4 4
Cartesian
0.000 0.000 0.000
4.990 4.990 0.000
3.496 8.486 0.000
1.493 3.496 0.000
8.486 6.483 0.000
6.483 1.493 0.000
8.131 3.141 3.789
1.848 6.838 3.789
6.838 8.131 3.789
3.141 1.848 3.789

***

Record 2
CrCoCu2 PBE-GGA relaxed; uncorrected energy = -5.793 eV per atom; D(E_F) = 5.834 states/eV per cell
1.0
1.338 -1.122 3.624
-2.112 -2.623 2.201
1.391 -3.733 0.563
Cr Cu Co
1 2 1
Cartesian
0.000 0.000 0.000
0.463 -5.609 4.791
0.154 -1.870 1.597
0.308 -3.739 3.194

***

Record 3
La2Tb6Al PBE-GGA relaxed; uncorrected energy = -4.565 eV per atom; D(E_F) = 11.158 states/eV per cell
1.0
-1.852 2.198 2.108
5.372 -3.294 8.155
3.547 6.197 -6.348
Tb La Al
6 2 1
Cartesian
3.015 -1.317 7.036
6.029 2.575 5.632
1.039 2.526 -1.717
4.053 6.418 -3.121
2.732 1.488 0.853
4.336 3.613 3.062
4.199 -0.035 3.731
2.868 5.136 0.184
0.000 0.000 0.000

***

Record 4
CdIn2Ni2 PBE-GGA relaxed; uncorrected energy = -3.471 eV per atom; D(E_F) = 3.585 states/eV per cell
1.0
3.396 0.000 0.000
0.000 3.396 0.000
1.698 1.698 8.566
In Cd Ni
2 1 2
Cartesian
1.698 1.698 2.209
3.396 3.396 6.356
0.000 0.000 0.000
1.698 3.396 4.283
3.396 1.698 4.283